# YCu2Si | the Alexandria database | PBE | relaxed
data_YCu2Si
_symmetry_space_group_name_H-M 'P 1'
_symmetry_Int_Tables_number 1
_cell_length_a 3.1953
_cell_length_b 3.1953
_cell_length_c 6.5118
_cell_angle_alpha 90.00
_cell_angle_beta 90.00
_cell_angle_gamma 90.09
loop_
_symmetry_equiv_pos_as_xyz
'x,y,z'
loop_
_atom_site_label
_atom_site_fract_x
_atom_site_fract_y
_atom_site_fract_z
Cu1 0.5000 0.5000 0.2553
Cu2 0.0000 0.0000 0.0575
Si1 0.0000 0.0000 0.4336
Y1 0.5000 0.5000 0.7536
# **VASP energy**: -5.137 eV per atom
# **Size of the total moment**: 0.00 μB per cell
# **N(E_F)**: 1.098 states/eV per atom
# **E_form (uncorrected)**: -0.117 eV per atom
# **Space group**: Cmm2



# Hg2TePt | the Alexandria database | PBE | relaxed
data_Hg2TePt
_symmetry_space_group_name_H-M 'P 1'
_symmetry_Int_Tables_number 1
_cell_length_a 7.1211
_cell_length_b 7.1211
_cell_length_c 4.0664
_cell_angle_alpha 80.30
_cell_angle_beta 80.30
_cell_angle_gamma 29.66
loop_
_symmetry_equiv_pos_as_xyz
'x,y,z'
loop_
_atom_site_label
_atom_site_fract_x
_atom_site_fract_y
_atom_site_fract_z
Hg1 0.0544 0.0544 0.9499
Hg2 0.4456 0.4456 0.5501
Pt1 0.7500 0.7500 0.7500
Te1 0.2500 0.2500 0.2500
# **VASP energy**: -2.379 eV per atom
# **Size of the total moment**: 0.00 μB per cell
# **N(E_F)**: 0.460 states/eV per atom
# **E_form (uncorrected)**: 0.068 eV per atom
# **Space group**: C2/m



# Nd3Tm5In2 | the Alexandria database | PBE | relaxed
data_Nd3Tm5In2
_symmetry_space_group_name_H-M 'P 1'
_symmetry_Int_Tables_number 1
_cell_length_a 6.3782
_cell_length_b 10.5800
_cell_length_c 10.5800
_cell_angle_alpha 94.98
_cell_angle_beta 72.46
_cell_angle_gamma 72.46
loop_
_symmetry_equiv_pos_as_xyz
'x,y,z'
loop_
_atom_site_label
_atom_site_fract_x
_atom_site_fract_y
_atom_site_fract_z
Nd1 0.6174 0.6454 0.1199
Nd2 0.2500 0.0000 0.0000
Nd3 0.3826 0.3546 0.8801
Nd4 0.1174 0.1199 0.6454
Nd5 0.8826 0.8801 0.3546
Nd6 0.7500 0.0000 0.0000
Tm1 0.2500 0.5000 0.5000
Tm2 0.3785 0.7841 0.4588
Tm3 0.8785 0.4588 0.7841
Tm4 0.5044 0.7456 0.7456
Tm5 0.9956 0.2544 0.2544
Tm6 0.7500 0.5000 0.5000
Tm7 0.4956 0.2544 0.2544
Tm8 0.6215 0.2159 0.5412
Tm9 0.0044 0.7456 0.7456
Tm10 0.1215 0.5412 0.2159
In1 0.1400 0.7125 0.0075
In2 0.8600 0.2875 0.9925
In3 0.3600 0.9925 0.2875
In4 0.6400 0.0075 0.7125
# **VASP energy**: -4.168 eV per atom
# **Size of the total moment**: 0.00 μB per cell
# **N(E_F)**: 1.364 states/eV per atom
# **Energy of formation**: 46 meV per atom
# **Space group**: Ibam



# LiFe2Si | the Alexandria database | PBE | relaxed
data_LiFe2Si
_symmetry_space_group_name_H-M 'P 1'
_symmetry_Int_Tables_number 1
_cell_length_a 2.5119
_cell_length_b 3.7043
_cell_length_c 5.0268
_cell_angle_alpha 90.00
_cell_angle_beta 90.00
_cell_angle_gamma 90.00
loop_
_symmetry_equiv_pos_as_xyz
'x,y,z'
loop_
_atom_site_label
_atom_site_fract_x
_atom_site_fract_y
_atom_site_fract_z
Fe1 0.5000 0.5000 0.2494
Fe2 0.0000 0.0000 0.9942
Li1 0.0000 0.0000 0.4980
Si1 0.5000 0.5000 0.7585
# **VASP energy**: -6.087 eV per atom
# **Size of the total moment**: 4.13 μB per cell
# **N(E_F)**: 0.697 states/eV per atom
# **E_form (uncorrected)**: -0.021 eV per atom
# **Space group**: Pmm2



# In2Sn2Hg | the Alexandria database | PBE | relaxed
data_In2Sn2Hg
_symmetry_space_group_name_H-M 'P 1'
_symmetry_Int_Tables_number 1
_cell_length_a 8.5963
_cell_length_b 8.5963
_cell_length_c 3.8386
_cell_angle_alpha 90.00
_cell_angle_beta 90.00
_cell_angle_gamma 90.00
loop_
_symmetry_equiv_pos_as_xyz
'x,y,z'
loop_
_atom_site_label
_atom_site_fract_x
_atom_site_fract_y
_atom_site_fract_z
In1 0.6557 0.8443 0.5000
In2 0.1557 0.6557 0.5000
In3 0.3443 0.1557 0.5000
In4 0.8443 0.3443 0.5000
Sn1 0.8583 0.6417 0.0000
Sn2 0.1417 0.3583 0.0000
Sn3 0.6417 0.1417 0.0000
Sn4 0.3583 0.8583 0.0000
Hg1 0.0000 0.0000 0.0000
Hg2 0.5000 0.5000 0.0000
# **VASP energy**: -2.668 eV per atom
# **Size of the total moment**: 0.00 μB per cell
# **N(E_F)**: 0.702 states/eV per atom
# **Offset from the most stable computed form**: 0.039 eV/atom
# **Energy of formation**: 89 meV per atom
# **Space group**: P4/mbm



# SrSc2Al | the Alexandria database | PBE | relaxed
data_SrSc2Al
_symmetry_space_group_name_H-M 'P 1'
_symmetry_Int_Tables_number 1
_cell_length_a 6.5192
_cell_length_b 6.5192
_cell_length_c 5.5363
_cell_angle_alpha 64.84
_cell_angle_beta 64.84
_cell_angle_gamma 31.19
loop_
_symmetry_equiv_pos_as_xyz
'x,y,z'
loop_
_atom_site_label
_atom_site_fract_x
_atom_site_fract_y
_atom_site_fract_z
Sr1 0.7500 0.7500 0.7500
Sc1 0.9595 0.9595 0.0405
Sc2 0.5405 0.5405 0.4595
Al1 0.2500 0.2500 0.2500
# **VASP energy**: -4.523 eV per atom
# **Size of the total moment**: 0.01 μB per cell
# **N(E_F)**: 1.607 states/eV per atom
# **Energy of formation**: -2 meV per atom
# **Space group**: Immm



Question: What is the VASP energy in the fifth record?
Answer: -2.668 eV per atom